Entry from the Alexandria database: a relaxed LaMgRe2 crystal (GGA-PBE).

Cell: 5.6335 5.6335 2.8587 Å, 100.87 100.87 117.62°
With the nearest neighbours (Å) after each atom.
Atoms (fractional coordinates):
La: 0.0000 0.0000 0.0000  2 La 2.86, 4 Re 2.91, 2 Mg 2.92
Mg: 0.5000 0.5000 0.0000  2 Mg 2.86, 4 Re 2.91, 2 La 2.92
Re: 0.0000 0.5000 0.5000  4 Re 2.86-2.92, 2 La 2.91, 2 Mg 2.91
Re: 0.5000 0.0000 0.5000  4 Re 2.86-2.92, 2 La 2.91, 2 Mg 2.91

magnetic moment = 0.0 μB/cell
electronic total energy = -28.8 eV for the cell shown
space-group type = C2/m, No. 12
energy relative to the elements = 0.6596 eV per atom
crystal system = monoclinic
D(E_F) = 4.45 states/eV/cell

Entry from the Alexandria database: a relaxed LaMgRe2 crystal (GGA-PBE).

Cell: 5.1720 5.1720 5.4774 Å, 109.37 109.37 43.70°
With the nearest neighbours (Å) after each atom.
Atoms (fractional coordinates):
La: 0.0000 0.0000 0.0000  8 Re 3.22-3.61, 4 Mg 3.35
Mg: 0.5000 0.5000 0.5000  6 Re 2.79-2.91
Re: 0.2425 0.2425 0.6258  2 Re 2.40
Re: 0.7575 0.7575 0.3742  2 Re 2.40

magnetic moment = 0.0 μB/cell
electronic total energy = -29.7 eV for the cell shown
space-group type = C2/m, No. 12
energy relative to the elements = 0.4282 eV per atom
crystal system = monoclinic
D(E_F) = 3.38 states/eV/cell

Entry from the Alexandria database: a relaxed La2MgRe crystal (GGA-PBE).

Cell: 5.1328 5.1328 3.8852 Å, 90.00 90.00 90.17°
With the nearest neighbours (Å) after each atom.
Atoms (fractional coordinates):
La: 0.0000 0.5000 0.0000  4 Re 3.22, 4 Mg 3.22
La: 0.5000 0.0000 0.0000  4 Re 3.22, 4 Mg 3.22
Mg: 0.0000 0.0000 0.5000  8 La 3.22
Re: 0.5000 0.5000 0.5000  8 La 3.22

magnetic moment = 0.0 μB/cell
electronic total energy = -22.6 eV for the cell shown
space-group type = Cmmm, No. 65
energy relative to the elements = 0.3169 eV per atom
crystal system = orthorhombic
D(E_F) = 5.58 states/eV/cell

Entry from the Alexandria database: a relaxed LaMg2ReRu crystal (GGA-PBE).

Cell: 4.9606 4.9606 5.1039 Å, 90.00 90.00 90.00°
With the nearest neighbours (Å) after each atom.
Atoms (fractional coordinates):
La: 0.0000 0.0000 0.0000  2 Ru 2.55
Mg: 0.0000 0.5000 0.5000  2 Ru 2.48
Mg: 0.5000 0.0000 0.5000  2 Ru 2.48
Re: 0.5000 0.5000 0.0000  4 La 3.51, 8 Mg 3.56
Ru: 0.0000 0.0000 0.5000  4 Mg 2.48, 2 La 2.55

magnetic moment = 3.2 μB/cell
electronic total energy = -25.1 eV for the cell shown
space-group type = P4/mmm, No. 123
energy relative to the elements = 0.9401 eV per atom
crystal system = tetragonal
D(E_F) = 4.29 states/eV/cell

Entry from the Alexandria database: a relaxed LaMg2Rh crystal (GGA-PBE).

Cell: 3.3891 3.4586 7.8817 Å, 90.00 90.06 90.00°
With the nearest neighbours (Å) after each atom.
Atoms (fractional coordinates):
La: 0.0000 0.0000 0.0000  4 Rh 3.03-3.04, 1 Mg 3.18, 2 La 3.39
Mg: 0.4998 0.5000 0.6530  8 Mg 3.12-3.46, 1 Rh 3.32
Mg: 0.9989 0.0000 0.4030  4 Rh 2.77
Rh: 0.4982 0.5000 0.2316  4 Mg 2.77, 4 La 3.03-3.04

magnetic moment = 0.0 μB/cell
electronic total energy = -16.8 eV for the cell shown
space-group type = Pm, No. 6
energy relative to the elements = -0.3224 eV per atom
crystal system = monoclinic
D(E_F) = 3.65 states/eV/cell

Entry from the Alexandria database: a relaxed La2MgRh crystal (GGA-PBE).

Cell: 3.4691 3.4691 8.9084 Å, 90.00 90.00 90.00°
With the nearest neighbours (Å) after each atom.
Atoms (fractional coordinates):
La: 0.0000 0.0000 0.0000  4 Rh 2.99, 1 Mg 3.16
La: 0.5000 0.5000 0.3650  4 La 3.47, 4 Mg 3.50
Mg: 0.0000 0.0000 0.6452  4 Rh 2.85, 1 La 3.16
Rh: 0.5000 0.5000 0.8080  4 Mg 2.85, 4 La 2.99

magnetic moment = 0.0 μB/cell
electronic total energy = -19.9 eV for the cell shown
space-group type = P4mm, No. 99
energy relative to the elements = -0.2751 eV per atom
crystal system = tetragonal
D(E_F) = 2.73 states/eV/cell

Entry from the Alexandria database: a relaxed LaMg3Rh3 crystal (GGA-PBE).

Cell: 6.8670 6.8670 6.8670 Å, 90.00 90.00 90.00°
With the nearest neighbours (Å) after each atom.
Atoms (fractional coordinates):
La: 0.0000 0.0000 0.0000  12 Mg 3.84, 12 Rh 3.84
La: 0.5000 0.5000 0.5000  12 Mg 3.84, 12 Rh 3.84
Mg: 0.0000 0.2500 0.5000  4 Rh 2.43
Mg: 0.0000 0.7500 0.5000  4 Rh 2.43
Mg: 0.2500 0.5000 0.0000  4 Rh 2.43
Mg: 0.5000 0.0000 0.2500  4 Rh 2.43
Mg: 0.5000 0.0000 0.7500  4 Rh 2.43
Mg: 0.7500 0.5000 0.0000  4 Rh 2.43
Rh: 0.0000 0.5000 0.2500  4 Mg 2.43
Rh: 0.0000 0.5000 0.7500  4 Mg 2.43
Rh: 0.2500 0.0000 0.5000  4 Mg 2.43
Rh: 0.5000 0.2500 0.0000  4 Mg 2.43
Rh: 0.5000 0.7500 0.0000  4 Mg 2.43
Rh: 0.7500 0.0000 0.5000  4 Mg 2.43

magnetic moment = 0.0 μB/cell
electronic total energy = -61.1 eV for the cell shown
space-group type = Pm-3n, No. 223
energy relative to the elements = 0.1745 eV per atom
crystal system = cubic
D(E_F) = 7.71 states/eV/cell

Entry from the Alexandria database: a relaxed LaMgRh2 crystal (GGA-PBE).

Cell: 3.7548 3.7548 5.6901 Å, 90.00 90.00 90.00°
With the nearest neighbours (Å) after each atom.
Atoms (fractional coordinates):
La: 0.0000 0.0000 0.0000  6 Rh 2.73-2.96
Mg: 0.5000 0.5000 0.3785  5 Rh 2.64-2.77
Rh: 0.0000 0.0000 0.5197  2 La 2.73-2.96, 4 Mg 2.77
Rh: 0.5000 0.5000 0.8416  1 Mg 2.64, 4 La 2.80

magnetic moment = 0.0 μB/cell
electronic total energy = -22.6 eV for the cell shown
space-group type = P4mm, No. 99
energy relative to the elements = -0.3450 eV per atom
crystal system = tetragonal
D(E_F) = 2.58 states/eV/cell

One value per record, in order, for volume: 75 95 102 126 92 107 324 80 Å³/cell.